(1)
A plane-wave DFT calculation with PBE-GGA was carried out for an optimized crystal structure of SrH6Pt3.

Cell and atoms, written as POSCAR:
```
SrH6Pt3
1.0
4.2360 -2.4617 0.0000
4.2360 2.4617 0.0000
-2.8455 0.0000 5.1857
Sr H Pt
1 6 3
Cartesian
0.0000 0.0000 0.0000
2.1820 1.1115 1.2597
1.5356 0.0000 3.9251
3.4446 1.1115 3.9261
2.1820 -1.1115 1.2597
4.0909 0.0000 1.2606
3.4446 -1.1115 3.9261
-0.0208 0.0000 3.2584
2.8133 0.0000 2.5929
5.6474 0.0000 1.9273
```

DFT total energy	-0.1572	Ha/atom

(2)
A plane-wave DFT calculation with PBE-GGA was carried out for an optimized crystal structure of Sr2HPt.

Cell and atoms, written as POSCAR:
```
Sr2HPt
1.0
3.6141 0.0000 0.0000
0.0000 3.6141 0.0000
0.0000 0.0000 7.3774
Sr H Pt
2 1 1
Cartesian
0.0000 0.0000 1.7879
0.0000 0.0000 5.5895
1.8071 1.8071 3.6887
1.8071 1.8071 0.0000
```

offset from the most stable computed form	40	kJ/mol of formula units
DFT total energy	-0.1328	Ha/atom